Entry 1:
A plane-wave DFT calculation with GGA-PBE was carried out for an optimized crystal structure of Rb2LiTcCl6.

Structure (POSCAR):
```
Rb2LiTcCl6
1.0
-3.516 3.516 4.960
3.516 -3.516 4.960
3.516 3.516 -4.960
Rb Li Cl Tc
2 1 6 1
Cartesian
0.000 3.516 2.480 Rb
3.516 0.000 2.480 Rb
0.000 0.000 0.000 Li
1.704 1.704 4.960 Cl
0.000 0.000 7.367 Cl
0.000 0.000 2.552 Cl
1.704 -1.704 4.960 Cl
1.812 1.812 0.000 Cl
-1.704 1.704 4.960 Cl
0.000 0.000 4.960 Tc
```

SG = I4/mmm

=====

Entry 2:
A plane-wave DFT calculation with GGA-PBE was carried out for an optimized crystal structure of Rb2LiZnCl6.

Structure (POSCAR):
```
Rb2LiZnCl6
1.0
-5.225 2.276 4.138
-3.113 2.990 -5.565
1.656 -6.844 -0.144
Cl Zn Li Rb
6 1 1 2
Cartesian
-2.053 1.296 -0.351 Cl
-6.286 3.970 -1.075 Cl
-3.047 -4.391 1.604 Cl
-1.238 -2.075 -0.424 Cl
-3.634 2.813 -3.174 Cl
-5.444 0.497 -1.147 Cl
0.000 0.000 0.000 Zn
-4.169 2.633 -0.713 Li
-2.813 -0.610 -3.211 Rb
-3.869 -0.968 1.641 Rb
```

SG = Fm-3m

=====

Entry 3:
A plane-wave DFT calculation with GGA-PBE was carried out for an optimized crystal structure of LiTaCl6.

Structure (POSCAR):
```
LiTaCl6
1.0
3.103 1.792 5.649
-3.103 1.792 5.649
0.000 -3.583 5.649
Cl Ta Li
6 1 1
Cartesian
-1.169 -1.784 9.937 Cl
-0.961 1.905 9.937 Cl
-2.130 0.121 7.011 Cl
1.169 1.784 7.011 Cl
0.961 -1.905 7.011 Cl
2.130 -0.120 9.937 Cl
0.000 0.000 0.000 Ta
0.000 0.000 8.474 Li
```

SG = R-3

=====

Entry 4:
A plane-wave DFT calculation with GGA-PBE was carried out for an optimized crystal structure of LiU6Cl2.

Structure (POSCAR):
```
LiU6Cl2
1.0
-1.048 -4.373 6.810
6.496 -1.345 -4.753
1.542 2.021 1.535
U Li Cl
6 1 2
Cartesian
3.835 -4.025 1.447 U
2.778 -1.097 1.525 U
-0.310 -1.295 2.016 U
0.109 -1.751 5.068 U
4.873 0.161 -2.234 U
1.923 -0.398 -1.407 U
0.771 1.010 0.768 Li
1.466 -3.364 2.955 Cl
3.981 -2.354 -0.899 Cl
```

SG = P-62m

=====

Entry 5:
A plane-wave DFT calculation with GGA-PBE was carried out for an optimized crystal structure of LiUCl6.

Structure (POSCAR):
```
LiUCl6
1.0
3.191 -5.941 0.000
3.191 5.941 0.000
-2.084 0.000 6.027
Cl Li U
6 1 1
Cartesian
1.080 1.741 1.504 Cl
0.102 0.000 4.466 Cl
4.196 0.000 1.561 Cl
1.080 -1.741 1.504 Cl
3.218 1.741 4.522 Cl
3.218 -1.741 4.522 Cl
0.000 0.000 0.000 Li
2.149 0.000 3.013 U
```

SG = C2/m

=====

Entry 6:
A plane-wave DFT calculation with GGA-PBE was carried out for an optimized crystal structure of Li2ZrCl6.

Structure (POSCAR):
```
Li2ZrCl6
1.0
6.257 0.000 0.000
-3.129 5.419 0.000
0.000 0.000 5.711
Cl Li Zr
6 2 1
Cartesian
4.207 0.000 1.416 Cl
-1.025 1.776 4.295 Cl
1.025 1.776 1.416 Cl
2.051 0.000 4.295 Cl
-2.103 3.643 1.416 Cl
2.103 3.643 4.295 Cl
3.129 1.806 2.856 Li
0.000 3.613 2.856 Li
0.000 0.000 0.000 Zr
```

SG = P-31m

=====

Entry 7:
A plane-wave DFT calculation with GGA-PBE was carried out for an optimized crystal structure of LuCl.

Structure (POSCAR):
```
LuCl
1.0
0.000 3.033 3.033
3.033 0.000 3.033
3.033 3.033 0.000
Cl Lu
1 1
Cartesian
0.000 0.000 0.000 Cl
1.517 1.517 1.517 Lu
```

SG = F-43m

=====

Entry 8:
A plane-wave DFT calculation with GGA-PBE was carried out for an optimized crystal structure of Lu3Cl2.

Structure (POSCAR):
```
Lu3Cl2
1.0
-6.710 0.000 0.000
3.355 -5.811 0.000
-3.355 1.937 5.924
Cl Lu
4 6
Cartesian
-3.355 -1.937 5.917 Cl
0.000 -3.874 2.968 Cl
-6.710 0.000 2.955 Cl
-3.355 -1.937 0.007 Cl
-2.189 -0.083 1.481 Lu
-2.333 -3.874 1.481 Lu
-1.166 -2.020 4.443 Lu
-4.521 -3.791 4.443 Lu
-4.377 0.000 4.443 Lu
-5.543 -1.854 1.481 Lu
```

SG = R-3c

=====

Entry 9:
A plane-wave DFT calculation with GGA-PBE was carried out for an optimized crystal structure of LuCl.

Structure (POSCAR):
```
LuCl
1.0
0.000 2.731 2.731
2.731 0.000 2.731
2.731 2.731 0.000
Lu Cl
1 1
Cartesian
2.731 2.731 2.731 Lu
0.000 0.000 0.000 Cl
```

SG = Fm-3m

=====

Entry 10:
A plane-wave DFT calculation with GGA-PBE was carried out for an optimized crystal structure of LuCl.

Structure (POSCAR):
```
LuCl
1.0
-2.320 -2.092 -1.318
0.305 0.290 3.365
-2.906 3.232 -0.015
Lu Cl
1 1
Cartesian
-1.297 0.304 1.800 Lu
-3.624 1.126 0.231 Cl
```

SG = P-6m2

=====

Entry 11:
A plane-wave DFT calculation with GGA-PBE was carried out for an optimized crystal structure of Lu3NiCl.

Structure (POSCAR):
```
Lu3NiCl
1.0
4.915 0.000 0.000
0.000 4.915 0.000
0.000 0.000 4.915
Cl Lu Ni
1 3 1
Cartesian
2.457 2.457 2.457 Cl
2.457 0.000 2.457 Lu
2.457 2.457 0.000 Lu
0.000 2.457 2.457 Lu
0.000 0.000 0.000 Ni
```

SG = Pm-3m

=====

Entry 12:
A plane-wave DFT calculation with GGA-PBE was carried out for an optimized crystal structure of Lu3ClO4.

Structure (POSCAR):
```
Lu3ClO4
1.0
-4.349 4.010 -0.771
2.184 -5.034 -2.338
-6.763 -6.048 6.702
Lu O Cl
6 8 2
Cartesian
-1.967 -3.140 -0.072 Lu
-4.961 -1.282 1.400 Lu
-2.954 0.512 -0.589 Lu
-6.960 -3.933 3.666 Lu
-5.974 -7.584 4.182 Lu
-3.967 -5.790 2.194 Lu
-3.179 -1.462 0.219 O
-0.166 -3.151 -1.323 O
-2.345 -5.099 0.837 O
-5.749 -5.610 3.375 O
-6.583 -1.973 2.757 O
-4.765 0.734 0.599 O
-4.162 -7.806 2.994 O
-8.762 -3.922 4.916 O
-3.382 -3.024 3.351 Cl
0.000 0.000 0.000 Cl
```

SG = Cmcm

=====

Entry 13:
A plane-wave DFT calculation with GGA-PBE was carried out for an optimized crystal structure of LuSeClO3.

Structure (POSCAR):
```
LuSeClO3
1.0
-2.950 -6.119 -1.960
3.621 -3.261 4.732
-6.351 1.233 5.710
Lu O Cl Se
4 12 4 4
Cartesian
-4.559 -3.714 8.242 Lu
-1.121 -4.433 0.240 Lu
-3.374 -7.289 4.871 Lu
-2.306 -0.857 3.611 Lu
-5.425 -2.436 6.669 O
-6.569 -4.401 4.431 O
1.051 -6.887 3.520 O
-1.567 -6.614 3.953 O
-0.255 -5.711 1.813 O
-4.565 -5.949 3.590 O
-6.731 -1.259 4.962 O
0.890 -3.745 4.051 O
0.192 -3.375 6.599 O
-1.115 -2.198 4.892 O
-5.872 -4.772 1.883 O
-4.113 -1.533 4.529 O
-2.416 -3.114 2.140 Cl
-3.020 -6.343 0.377 Cl
-3.264 -5.032 6.342 Cl
-2.660 -1.804 8.105 Cl
-5.199 -4.328 3.434 Se
-0.480 -3.819 5.048 Se
-5.183 -0.985 5.725 Se
-0.496 -7.162 2.757 Se
```

SG = Pnma

=====

Entry 14:
A plane-wave DFT calculation with GGA-PBE was carried out for an optimized crystal structure of LuSCl.

Structure (POSCAR):
```
LuSCl
1.0
-4.602 3.177 -3.331
-4.091 -5.036 0.851
-1.281 2.088 6.197
Lu S Cl
4 4 4
Cartesian
-4.206 0.168 3.722 Lu
-1.879 1.199 0.273 Lu
-8.096 -0.971 3.443 Lu
-5.769 0.061 -0.006 Lu
-4.234 1.638 1.500 S
-6.314 -0.282 5.300 S
-5.742 -1.409 2.216 S
-3.661 0.510 -1.584 S
-2.032 1.136 5.097 Cl
-7.862 1.025 1.567 Cl
-7.944 -0.907 -1.381 Cl
-2.113 -0.796 2.149 Cl
```

SG = P2_1/c

=====

Entry 15:
A plane-wave DFT calculation with GGA-PBE was carried out for an optimized crystal structure of LuS2Cl2.

Structure (POSCAR):
```
LuS2Cl2
1.0
6.845 0.000 0.000
3.420 6.491 0.000
2.107 -0.107 7.195
S Cl Lu
4 4 2
Cartesian
6.698 0.000 1.707 S
7.185 6.385 6.789 S
5.674 6.383 5.488 S
5.186 -0.001 0.405 S
5.321 3.487 1.649 Cl
7.051 2.896 5.546 Cl
3.628 3.381 5.545 Cl
8.743 3.003 1.649 Cl
6.844 2.218 0.000 Lu
3.421 4.273 0.000 Lu
```

SG = P-1

=====

Entry 16:
A plane-wave DFT calculation with GGA-PBE was carried out for an optimized crystal structure of LuScS2Cl2.

Structure (POSCAR):
```
LuScS2Cl2
1.0
-2.399 1.113 -2.703
0.154 -4.742 -2.090
-6.285 -2.254 4.651
S Cl Lu Sc
2 2 1 1
Cartesian
-1.814 0.336 -0.897 S
-5.675 -4.434 3.212 S
-5.272 -0.904 1.662 Cl
-2.055 -3.136 0.533 Cl
-5.442 -1.952 4.027 Lu
-1.963 -2.116 -1.774 Sc
```

SG = Pmm2

=====

Entry 17:
A plane-wave DFT calculation with GGA-PBE was carried out for an optimized crystal structure of TbLuS2Cl2.

Structure (POSCAR):
```
TbLuS2Cl2
1.0
3.951 0.000 0.000
0.000 5.316 0.000
0.000 0.000 8.355
S Tb Lu Cl
2 1 1 2
Cartesian
1.975 0.000 7.685 S
0.000 2.658 0.762 S
1.975 2.658 7.196 Tb
0.000 0.000 1.160 Lu
0.000 2.658 5.390 Cl
1.975 0.000 2.872 Cl
```

SG = Pmm2

=====

Entry 18:
A plane-wave DFT calculation with GGA-PBE was carried out for an optimized crystal structure of Lu2TcCl2.

Structure (POSCAR):
```
Lu2TcCl2
1.0
0.000 6.725 7.980
2.197 0.000 7.980
2.197 6.725 0.000
Lu Cl Tc
4 4 2
Cartesian
2.197 1.647 7.980 Lu
2.197 11.804 7.980 Lu
1.099 1.716 3.990 Lu
1.099 5.010 3.990 Lu
1.648 8.407 5.985 Cl
2.746 5.044 5.985 Cl
2.746 8.407 9.975 Cl
1.648 5.044 9.975 Cl
2.197 6.725 7.980 Tc
3.296 10.088 11.970 Tc
```

SG = Fddd

=====

Entry 19:
A plane-wave DFT calculation with GGA-PBE was carried out for an optimized crystal structure of MgMo3Cl.

Structure (POSCAR):
```
MgMo3Cl
1.0
4.438 0.000 0.000
0.000 4.438 0.000
0.000 0.000 4.438
Mo Mg Cl
3 1 1
Cartesian
2.219 0.000 2.219 Mo
2.219 2.219 0.000 Mo
0.000 2.219 2.219 Mo
0.000 0.000 0.000 Mg
2.219 2.219 2.219 Cl
```

SG = Pm-3m

=====

Entry 20:
A plane-wave DFT calculation with GGA-PBE was carried out for an optimized crystal structure of Mg2MoN4Cl.

Structure (POSCAR):
```
Mg2MoN4Cl
1.0
2.971 0.000 0.000
-1.486 2.573 0.000
0.000 0.000 10.777
N Mg Cl Mo
4 2 1 1
Cartesian
1.486 0.858 4.110 N
0.000 0.000 1.492 N
1.486 0.858 6.667 N
0.000 0.000 9.285 N
0.000 1.716 2.741 Mg
0.000 1.716 8.036 Mg
1.486 0.858 0.000 Cl
0.000 0.000 5.389 Mo
```

SG = P-6m2

=====

Entry 21:
A plane-wave DFT calculation with GGA-PBE was carried out for an optimized crystal structure of MgNiCl6.

Structure (POSCAR):
```
MgNiCl6
1.0
5.948 0.000 0.000
-2.974 5.152 0.000
0.000 -3.434 5.397
Ni Mg Cl
1 1 6
Cartesian
2.974 -1.717 2.698 Ni
0.000 0.000 0.000 Mg
3.936 -0.141 3.993 Cl
1.128 -1.673 3.993 Cl
0.884 1.814 3.993 Cl
2.090 -0.097 1.403 Cl
1.846 3.390 1.403 Cl
-0.961 1.858 1.403 Cl
```

SG = R-3

=====

Entry 22:
A plane-wave DFT calculation with GGA-PBE was carried out for an optimized crystal structure of MgPdCl6.

Structure (POSCAR):
```
MgPdCl6
1.0
3.029 1.749 5.519
-3.029 1.749 5.519
0.000 -3.497 5.519
Cl Mg Pd
6 1 1
Cartesian
-1.007 1.844 9.683 Cl
-2.101 0.050 6.873 Cl
1.093 1.794 6.873 Cl
2.101 -0.050 9.683 Cl
-1.093 -1.794 9.683 Cl
1.007 -1.844 6.873 Cl
0.000 0.000 8.278 Mg
0.000 0.000 0.000 Pd
```

SG = R-3

=====

Entry 23:
A plane-wave DFT calculation with GGA-PBE was carried out for an optimized crystal structure of MgUCl2.

Structure (POSCAR):
```
MgUCl2
1.0
-3.594 9.027 3.015
-3.344 7.524 5.975
5.539 1.479 0.282
Cl U Mg
4 2 2
Cartesian
1.086 3.011 1.437 Cl
0.385 12.023 6.072 Cl
-1.784 6.007 3.201 Cl
-2.485 15.019 7.836 Cl
-3.819 12.783 6.813 U
2.420 5.247 2.459 U
0.000 0.000 0.000 Mg
-0.699 9.015 4.636 Mg
```

SG = C2/m

=====

Entry 24:
A plane-wave DFT calculation with GGA-PBE was carried out for an optimized crystal structure of Mo2Cl.

Structure (POSCAR):
```
Mo2Cl
1.0
-3.139 -1.420 4.082
-0.760 3.362 4.080
-4.745 2.361 0.667
Mo Cl
4 2
Cartesian
-3.833 3.399 3.477 Mo
-3.030 1.509 5.185 Mo
-5.403 2.689 5.518 Mo
-5.023 1.008 3.478 Mo
0.000 0.000 0.000 Cl
-2.161 1.076 2.207 Cl
```

SG = Fd-3m
distance to the lowest polymorph of the same formula = 0.0 meV per atom

=====

| no. | DFT total energy (eV per atom) |
| --- | --- |
| 1 | -3.9116 |
| 2 | -3.0183 |
| 3 | -4.5235 |
| 4 | -7.9358 |
| 5 | -4.7125 |
| 6 | -4.3670 |
| 7 | -3.8781 |
| 8 | -4.2357 |
| 9 | -3.9118 |
| 10 | -4.3407 |
| 11 | -4.1996 |
| 12 | -7.8749 |
| 13 | -6.1618 |
| 14 | -5.6145 |
| 15 | -4.7922 |
| 16 | -5.8859 |
| 17 | -5.6934 |
| 18 | -4.8220 |
| 19 | -6.2888 |
| 20 | -5.7947 |
| 21 | -3.0362 |
| 22 | -3.0190 |
| 23 | -5.0092 |
| 24 | -6.6248 |